# 1
Compound: LiAl3O
Source: Alexandria via LeMat-Bulk
Functional: GGA-PBE
Structure: optimized geometry

a b c (Å): 4.269 4.269 4.269
angles (deg): 90.00 90.00 90.00
Element x y z (fractional)
O (0.000, 0.000, 0.000)
Al (0.000, 0.500, 0.000)
Al (0.000, 0.000, 0.500)
Al (0.500, 0.000, 0.000)
Li (0.500, 0.500, 0.500)

Calculated values
energy above the lowest structure with this stoichiometry	0.000	eV per atom
magnetic moment	0.000	μB/f.u.
formation energy from raw total energies	-0.2853	eV/atom
final energy	-3.905	eV/atom
DOS at the Fermi energy	3.7	states/eV/cell

# 2
Compound: Li2AlO3
Source: Alexandria via LeMat-Bulk
Functional: GGA-PBE
Structure: optimized geometry

a b c (Å): 2.798 3.933 5.123
angles (deg): 112.57 105.85 90.00
Element x y z (fractional)
O (0.643, 0.643, 0.286)
O (0.000, 0.000, 0.000)
O (0.357, 0.357, 0.714)
Al (0.000, 0.500, 0.000)
Li (0.313, 0.813, 0.627)
Li (0.687, 0.187, 0.373)

Calculated values
magnetic moment	1.008	μB/f.u.
formation energy from raw total energies	-2.1688	eV/atom
final energy	-5.910	eV/atom
DOS at the Fermi energy	1.7	states/eV/cell

# 3
Compound: Li5AlO4
Source: Alexandria via LeMat-Bulk
Functional: GGA-PBE
Structure: optimized geometry

a b c (Å): 9.047 9.166 9.213
angles (deg): 90.00 90.00 90.00
Element x y z (fractional)
O (0.269, 0.748, 0.758)
O (0.238, 0.515, 0.461)
O (0.238, 0.015, 0.039)
O (0.769, 0.752, 0.758)
O (0.762, 0.985, 0.961)
O (0.995, 0.247, 0.011)
O (0.999, 0.462, 0.742)
O (0.995, 0.747, 0.489)
O (0.499, 0.038, 0.742)
O (0.769, 0.252, 0.742)
O (0.501, 0.462, 0.242)
O (0.999, 0.962, 0.758)
O (0.495, 0.753, 0.489)
O (0.738, 0.485, 0.039)
O (0.231, 0.248, 0.242)
O (0.005, 0.253, 0.511)
O (0.499, 0.538, 0.758)
O (0.731, 0.752, 0.258)
O (0.495, 0.253, 0.011)
O (0.505, 0.247, 0.511)
O (0.262, 0.515, 0.961)
O (0.731, 0.252, 0.242)
O (0.001, 0.038, 0.242)
O (0.505, 0.747, 0.989)
O (0.262, 0.015, 0.539)
O (0.001, 0.538, 0.258)
O (0.501, 0.962, 0.258)
O (0.231, 0.748, 0.258)
O (0.005, 0.753, 0.989)
O (0.269, 0.248, 0.742)
O (0.762, 0.485, 0.539)
O (0.738, 0.985, 0.461)
Al (0.384, 0.144, 0.623)
Al (0.384, 0.644, 0.877)
Al (0.116, 0.644, 0.377)
Al (0.116, 0.144, 0.123)
Al (0.616, 0.856, 0.377)
Al (0.884, 0.856, 0.877)
Al (0.884, 0.356, 0.623)
Al (0.616, 0.356, 0.123)
Li (0.139, 0.615, 0.102)
Li (0.902, 0.627, 0.645)
Li (0.833, 0.106, 0.119)
Li (0.868, 0.147, 0.379)
Li (0.598, 0.627, 0.145)
Li (0.639, 0.385, 0.398)
Li (0.098, 0.873, 0.145)
Li (0.103, 0.619, 0.841)
Li (0.639, 0.885, 0.102)
Li (0.897, 0.381, 0.159)
Li (0.333, 0.894, 0.381)
Li (0.603, 0.381, 0.659)
Li (0.333, 0.394, 0.119)
Li (0.632, 0.647, 0.621)
Li (0.861, 0.385, 0.898)
Li (0.897, 0.881, 0.341)
Li (0.667, 0.606, 0.881)
Li (0.397, 0.619, 0.341)
Li (0.132, 0.853, 0.621)
Li (0.397, 0.119, 0.159)
Li (0.861, 0.885, 0.602)
Li (0.103, 0.119, 0.659)
Li (0.598, 0.127, 0.355)
Li (0.368, 0.853, 0.121)
Li (0.833, 0.606, 0.381)
Li (0.868, 0.647, 0.121)
Li (0.902, 0.127, 0.855)
Li (0.632, 0.147, 0.879)
Li (0.361, 0.115, 0.898)
Li (0.402, 0.373, 0.855)
Li (0.667, 0.106, 0.619)
Li (0.402, 0.873, 0.645)
Li (0.167, 0.394, 0.619)
Li (0.098, 0.373, 0.355)
Li (0.132, 0.353, 0.879)
Li (0.139, 0.115, 0.398)
Li (0.603, 0.881, 0.841)
Li (0.361, 0.615, 0.602)
Li (0.167, 0.894, 0.881)
Li (0.368, 0.353, 0.379)

Calculated values
energy above the lowest structure with this stoichiometry	0.000	eV per atom
magnetic moment	0.000	μB/f.u.
formation energy from raw total energies	-2.2140	eV/atom
final energy	-5.528	eV/atom
DOS at the Fermi energy	0.0	states/eV/cell

# 4
Compound: Li2AlOsO6
Source: Alexandria via LeMat-Bulk
Functional: GGA-PBE
Structure: optimized geometry

a b c (Å): 5.022 5.188 7.264
angles (deg): 90.00 90.05 90.00
Element x y z (fractional)
O (0.891, 0.532, 0.250)
O (0.391, 0.968, 0.750)
O (0.811, 0.807, 0.943)
O (0.312, 0.693, 0.054)
O (0.812, 0.807, 0.554)
O (0.689, 0.307, 0.557)
O (0.109, 0.468, 0.750)
O (0.311, 0.693, 0.443)
O (0.688, 0.307, 0.946)
O (0.188, 0.193, 0.446)
O (0.189, 0.193, 0.057)
O (0.609, 0.032, 0.250)
Os (0.000, 0.500, 0.000)
Os (0.500, 0.000, 0.500)
Li (0.494, 0.462, 0.248)
Li (0.994, 0.038, 0.748)
Li (0.506, 0.538, 0.752)
Li (0.006, 0.962, 0.252)
Al (0.000, 0.500, 0.500)
Al (0.500, 0.000, 0.000)

Calculated values
magnetic moment	0.921	μB/f.u.
formation energy from raw total energies	-1.7791	eV/atom
final energy	-6.634	eV/atom
DOS at the Fermi energy	7.0	states/eV/cell

# 5
Compound: LiAlPO2
Source: Alexandria via LeMat-Bulk
Functional: GGA-PBE
Structure: optimized geometry

a b c (Å): 3.585 3.585 5.471
angles (deg): 90.00 90.00 90.00
Element x y z (fractional)
P (0.000, 0.000, 0.500)
Al (0.000, 0.000, 0.000)
Li (0.500, 0.500, 0.500)
O (0.500, 0.000, 0.000)
O (0.000, 0.500, 0.000)

Calculated values
energy above the lowest structure with this stoichiometry	0.000	eV per atom
magnetic moment	1.347	μB/f.u.
formation energy from raw total energies	-0.8883	eV/atom
final energy	-5.085	eV/atom
DOS at the Fermi energy	3.3	states/eV/cell

# 6
Compound: LiAlP4O12
Source: Alexandria via LeMat-Bulk
Functional: GGA-PBE
Structure: optimized geometry

a b c (Å): 8.386 9.088 12.572
angles (deg): 90.00 90.00 90.00
Element x y z (fractional)
O (0.700, 0.639, 0.436)
O (0.632, 0.120, 0.882)
O (0.405, 0.624, 0.602)
O (0.868, 0.620, 0.618)
O (0.858, 0.038, 0.681)
O (0.368, 0.880, 0.118)
O (0.405, 0.876, 0.398)
O (0.142, 0.538, 0.681)
O (0.395, 0.421, 0.744)
O (0.300, 0.361, 0.564)
O (0.027, 0.636, 0.431)
O (0.300, 0.139, 0.436)
O (0.642, 0.962, 0.181)
O (0.132, 0.120, 0.618)
O (0.095, 0.124, 0.898)
O (0.473, 0.364, 0.931)
O (0.473, 0.136, 0.069)
O (0.605, 0.579, 0.256)
O (0.800, 0.361, 0.936)
O (0.200, 0.639, 0.064)
O (0.905, 0.624, 0.898)
O (0.632, 0.380, 0.118)
O (0.858, 0.462, 0.319)
O (0.895, 0.079, 0.244)
O (0.973, 0.364, 0.569)
O (0.200, 0.861, 0.936)
O (0.105, 0.921, 0.756)
O (0.368, 0.620, 0.882)
O (0.595, 0.376, 0.398)
O (0.527, 0.864, 0.931)
O (0.395, 0.079, 0.256)
O (0.895, 0.421, 0.756)
O (0.642, 0.538, 0.819)
O (0.905, 0.876, 0.102)
O (0.105, 0.579, 0.244)
O (0.527, 0.636, 0.069)
O (0.868, 0.880, 0.382)
O (0.132, 0.380, 0.382)
O (0.095, 0.376, 0.102)
O (0.605, 0.921, 0.744)
O (0.973, 0.136, 0.431)
O (0.800, 0.139, 0.064)
O (0.142, 0.962, 0.319)
O (0.358, 0.038, 0.819)
O (0.700, 0.861, 0.564)
O (0.595, 0.124, 0.602)
O (0.027, 0.864, 0.569)
O (0.358, 0.462, 0.181)
Al (0.369, 0.750, 0.000)
Al (0.869, 0.750, 0.500)
Al (0.131, 0.250, 0.500)
Al (0.631, 0.250, 0.000)
P (0.535, 0.513, 0.148)
P (0.683, 0.993, 0.638)
P (0.317, 0.007, 0.362)
P (0.317, 0.493, 0.638)
P (0.465, 0.013, 0.148)
P (0.965, 0.487, 0.648)
P (0.035, 0.513, 0.352)
P (0.465, 0.487, 0.852)
P (0.817, 0.007, 0.138)
P (0.965, 0.013, 0.352)
P (0.183, 0.993, 0.862)
P (0.535, 0.987, 0.852)
P (0.683, 0.507, 0.362)
P (0.183, 0.507, 0.138)
P (0.035, 0.987, 0.648)
P (0.817, 0.493, 0.862)
Li (0.993, 0.250, 0.000)
Li (0.493, 0.250, 0.500)
Li (0.007, 0.750, 0.000)
Li (0.507, 0.750, 0.500)

Calculated values
magnetic moment	0.000	μB/f.u.
formation energy from raw total energies	-2.3339	eV/atom
final energy	-7.156	eV/atom
DOS at the Fermi energy	0.0	states/eV/cell

# 7
Compound: LiAl2PO6
Source: Alexandria via LeMat-Bulk
Functional: GGA-PBE
Structure: optimized geometry

a b c (Å): 5.438 6.864 6.864
angles (deg): 101.99 74.16 74.16
Element x y z (fractional)
Al (0.163, 0.450, 0.288)
Al (0.663, 0.288, 0.450)
Al (0.337, 0.712, 0.550)
Al (0.837, 0.550, 0.712)
O (0.018, 0.684, 0.565)
O (0.482, 0.435, 0.316)
O (0.982, 0.316, 0.435)
O (0.691, 0.780, 0.974)
O (0.309, 0.220, 0.026)
O (0.191, 0.974, 0.780)
O (0.989, 0.359, 0.832)
O (0.489, 0.832, 0.359)
O (0.809, 0.026, 0.220)
O (0.511, 0.168, 0.641)
O (0.011, 0.641, 0.168)
O (0.518, 0.565, 0.684)
P (0.750, 0.813, 0.187)
P (0.250, 0.187, 0.813)
Li (0.750, 0.073, 0.927)
Li (0.250, 0.927, 0.073)

Calculated values
magnetic moment	0.000	μB/f.u.
formation energy from raw total energies	-2.6321	eV/atom
final energy	-7.088	eV/atom
DOS at the Fermi energy	0.0	states/eV/cell

# 8
Compound: LiAlP2O
Source: Alexandria via LeMat-Bulk
Functional: GGA-PBE
Structure: optimized geometry

a b c (Å): 5.060 5.060 3.347
angles (deg): 90.00 90.00 90.00
Element x y z (fractional)
O (0.000, 0.000, 0.500)
P (0.500, 0.000, 0.000)
P (0.000, 0.500, 0.000)
Al (0.000, 0.000, 0.000)
Li (0.500, 0.500, 0.500)

Calculated values
energy above the lowest structure with this stoichiometry	0.000	eV per atom
magnetic moment	0.000	μB/f.u.
formation energy from raw total energies	-0.3293	eV/atom
final energy	-4.616	eV/atom
DOS at the Fermi energy	2.7	states/eV/cell

# 9
Compound: LiAlP2O
Source: Alexandria via LeMat-Bulk
Functional: GGA-PBE
Structure: optimized geometry

a b c (Å): 4.640 4.640 3.269
angles (deg): 90.00 90.00 90.00
Element x y z (fractional)
P (0.500, 0.000, 0.000)
P (0.000, 0.500, 0.000)
O (0.000, 0.000, 0.500)
Li (0.000, 0.000, 0.000)
Al (0.500, 0.500, 0.500)

Calculated values
energy above the lowest structure with this stoichiometry	0.667	eV per atom
magnetic moment	0.000	μB/f.u.
formation energy from raw total energies	0.3376	eV/atom
final energy	-3.949	eV/atom
DOS at the Fermi energy	4.8	states/eV/cell

# 10
Compound: LiAlPO5
Source: Alexandria via LeMat-Bulk
Functional: GGA-PBE
Structure: optimized geometry

a b c (Å): 5.154 5.215 7.013
angles (deg): 106.70 105.98 99.00
Element x y z (fractional)
O (0.756, 0.738, 0.934)
O (0.068, 0.426, 0.747)
O (0.356, 0.746, 0.631)
O (0.644, 0.254, 0.369)
O (0.244, 0.262, 0.066)
O (0.932, 0.574, 0.253)
O (0.302, 0.821, 0.148)
O (0.698, 0.179, 0.852)
O (0.851, 0.812, 0.611)
O (0.149, 0.188, 0.389)
Al (0.000, 0.500, 0.500)
Al (0.000, 0.500, 0.000)
P (0.326, 0.139, 0.242)
P (0.674, 0.861, 0.758)
Li (0.740, 0.873, 0.250)
Li (0.260, 0.127, 0.750)

Calculated values
magnetic moment	1.035	μB/f.u.
formation energy from raw total energies	-2.2949	eV/atom
final energy	-6.777	eV/atom
DOS at the Fermi energy	0.3	states/eV/cell

# 11
Compound: Li9Al3P8O29
Source: Alexandria via LeMat-Bulk
Functional: GGA-PBE
Structure: optimized geometry

a b c (Å): 9.678 9.678 13.636
angles (deg): 90.00 90.00 120.00
Element x y z (fractional)
Al (0.565, 0.565, 0.250)
Al (0.565, 0.000, 0.750)
Al (0.435, 0.435, 0.750)
Al (0.000, 0.565, 0.750)
Al (0.435, 0.000, 0.250)
Al (0.000, 0.435, 0.250)
P (0.333, 0.667, 0.371)
P (0.093, 0.319, 0.657)
P (0.774, 0.681, 0.843)
P (0.319, 0.226, 0.343)
P (0.226, 0.907, 0.657)
P (0.667, 0.333, 0.129)
P (0.681, 0.774, 0.657)
P (0.333, 0.667, 0.871)
P (0.907, 0.226, 0.843)
P (0.774, 0.093, 0.343)
P (0.319, 0.093, 0.843)
P (0.226, 0.319, 0.157)
P (0.093, 0.774, 0.157)
P (0.907, 0.681, 0.343)
P (0.667, 0.333, 0.629)
P (0.681, 0.907, 0.157)
O (0.333, 0.667, 0.483)
O (0.481, 0.378, 0.330)
O (0.776, 0.773, 0.934)
O (0.670, 0.487, 0.168)
O (0.740, 0.078, 0.840)
O (0.000, 0.208, 0.750)
O (0.103, 0.481, 0.670)
O (0.330, 0.817, 0.332)
O (0.487, 0.670, 0.332)
O (0.378, 0.897, 0.670)
O (0.003, 0.776, 0.066)
O (0.513, 0.183, 0.168)
O (0.792, 0.792, 0.750)
O (0.208, 0.000, 0.750)
O (0.183, 0.670, 0.832)
O (0.773, 0.776, 0.566)
O (0.260, 0.922, 0.160)
O (0.330, 0.513, 0.832)
O (0.817, 0.487, 0.668)
O (0.997, 0.224, 0.934)
O (0.740, 0.662, 0.340)
O (0.792, 0.000, 0.250)
O (0.922, 0.260, 0.340)
O (0.519, 0.897, 0.170)
O (0.519, 0.622, 0.670)
O (0.662, 0.740, 0.160)
O (0.670, 0.183, 0.668)
O (0.003, 0.227, 0.566)
O (0.260, 0.338, 0.660)
O (0.897, 0.519, 0.330)
O (0.776, 0.003, 0.434)
O (0.897, 0.378, 0.830)
O (0.622, 0.519, 0.830)
O (0.078, 0.740, 0.660)
O (0.333, 0.667, 0.983)
O (0.208, 0.208, 0.250)
O (0.622, 0.103, 0.330)
O (0.817, 0.330, 0.168)
O (0.513, 0.330, 0.668)
O (0.227, 0.224, 0.434)
O (0.667, 0.333, 0.017)
O (0.662, 0.922, 0.660)
O (0.338, 0.260, 0.840)
O (0.338, 0.078, 0.340)
O (0.103, 0.622, 0.170)
O (0.224, 0.227, 0.066)
O (0.227, 0.003, 0.934)
O (0.997, 0.773, 0.434)
O (0.487, 0.817, 0.832)
O (0.000, 0.792, 0.250)
O (0.667, 0.333, 0.517)
O (0.481, 0.103, 0.830)
O (0.224, 0.997, 0.566)
O (0.378, 0.481, 0.170)
O (0.922, 0.662, 0.840)
O (0.183, 0.513, 0.332)
O (0.078, 0.338, 0.160)
O (0.773, 0.997, 0.066)
Li (0.898, 0.663, 0.565)
Li (0.236, 0.898, 0.435)
Li (0.667, 0.333, 0.881)
Li (0.764, 0.663, 0.065)
Li (0.236, 0.337, 0.935)
Li (0.667, 0.333, 0.381)
Li (0.663, 0.764, 0.435)
Li (0.337, 0.236, 0.565)
Li (0.333, 0.667, 0.619)
Li (0.898, 0.236, 0.065)
Li (0.102, 0.764, 0.935)
Li (0.000, 0.000, 0.000)
Li (0.102, 0.337, 0.435)
Li (0.764, 0.102, 0.565)
Li (0.000, 0.000, 0.500)
Li (0.337, 0.102, 0.065)
Li (0.663, 0.898, 0.935)
Li (0.333, 0.667, 0.119)

Calculated values
magnetic moment	0.235	μB/f.u.
formation energy from raw total energies	-2.4547	eV/atom
final energy	-6.853	eV/atom
DOS at the Fermi energy	0.0	states/eV/cell

# 12
Compound: LiAlPO2
Source: Alexandria via LeMat-Bulk
Functional: GGA-PBE
Structure: optimized geometry

a b c (Å): 3.611 3.611 4.587
angles (deg): 90.00 90.00 90.00
Element x y z (fractional)
Li (0.000, 0.000, 0.000)
O (0.000, 0.500, 0.000)
O (0.500, 0.000, 0.000)
P (0.000, 0.000, 0.500)
Al (0.500, 0.500, 0.500)

Calculated values
energy above the lowest structure with this stoichiometry	0.928	eV per atom
magnetic moment	1.444	μB/f.u.
formation energy from raw total energies	0.0397	eV/atom
final energy	-4.157	eV/atom
DOS at the Fermi energy	2.2	states/eV/cell